Entry 1:
LiAlFe: optimized geometry, PBE.

The total energy is -0.1557 Ha/atom. For the formation energy, the calculation gives 0.47 eV per atom. The calculation puts the calculated density at 3.0 g/cm3.

```
3
Lattice="0.000 2.927 2.927 2.927 0.000 2.927 2.927 2.927 0.000" Properties=species:S:1:pos:R:3 pbc="T T T"
Li 0.000 0.000 0.000
Al 2.927 2.927 2.927
Fe 1.464 1.464 1.464
```

***

Entry 2:
CaHgIr2: optimized geometry, PBE.

The total energy is -0.1696 Ha/atom. For the formation energy, the calculation gives 0.39 eV per atom. The calculation puts the calculated density at 14.2 g/cm3.

```
4
Lattice="1.511 0.872 9.274 -1.511 0.872 9.274 0.000 -1.745 9.274" Properties=species:S:1:pos:R:3 pbc="T T T"
Ca 0.000 0.000 0.000
Hg 0.000 0.000 13.912
Ir 0.000 0.000 6.931
Ir 0.000 0.000 20.893
```